(1)
# PBE-GGA PmPaSi, relaxed
# Raw total energy   -6.561 eV per atom
# M_tot   3.8 μB per cell
data_PmPaSi
_chemical_formula_sum 'Pm4 Pa4 Si4'
_symmetry_space_group_name_H-M 'F -4 3 m'
_symmetry_Int_Tables_number 216
_symmetry_space_group_name_Hall 'F -4 2 3'
_cell_length_a 6.8611
_cell_length_b 6.8611
_cell_length_c 6.8611
_cell_angle_alpha 90.00
_cell_angle_beta 90.00
_cell_angle_gamma 90.00
loop_
_atom_site_label
_atom_site_type_symbol
_atom_site_fract_x
_atom_site_fract_y
_atom_site_fract_z
Pm1 Pm 0.0000 0.0000 0.0000
Pa1 Pa 0.0000 0.0000 0.5000
Si1 Si 0.2500 0.2500 0.7500



(2)
# PBE-GGA ZrNbNiSb, relaxed
# Raw total energy   -7.038 eV per atom
# M_tot   0.7 μB per cell
data_ZrNbNiSb
_chemical_formula_sum 'Zr4 Nb4 Ni4 Sb4'
_symmetry_space_group_name_H-M 'F -4 3 m'
_symmetry_Int_Tables_number 216
_symmetry_space_group_name_Hall 'F -4 2 3'
_cell_length_a 6.6032
_cell_length_b 6.6032
_cell_length_c 6.6032
_cell_angle_alpha 90.00
_cell_angle_beta 90.00
_cell_angle_gamma 90.00
loop_
_atom_site_label
_atom_site_type_symbol
_atom_site_fract_x
_atom_site_fract_y
_atom_site_fract_z
Zr1 Zr 0.0000 0.0000 0.0000
Nb1 Nb 0.2500 0.2500 0.2500
Ni1 Ni 0.2500 0.2500 0.7500
Sb1 Sb 0.0000 0.0000 0.5000



(3)
# PBE-GGA K4P2PtAu, relaxed
# Raw total energy   -3.523 eV per atom
# M_tot   0.8 μB per cell
data_K4P2PtAu
_chemical_formula_sum 'K8 P4 Pt2 Au2'
_symmetry_space_group_name_H-M 'C 1 2/m 1'
_symmetry_Int_Tables_number 12
_cell_length_a 7.6635
_cell_length_b 9.8834
_cell_length_c 5.7431
_cell_angle_alpha 90.00
_cell_angle_beta 90.35
_cell_angle_gamma 90.00
loop_
_symmetry_equiv_pos_as_xyz
'x,y,z'
'-x,-y,-z'
'-x,y,-z'
'x,-y,z'
'x+1/2,y+1/2,z'
'-x+1/2,-y+1/2,-z'
'-x+1/2,y+1/2,-z'
'x+1/2,-y+1/2,z'
loop_
_atom_site_label
_atom_site_type_symbol
_atom_site_fract_x
_atom_site_fract_y
_atom_site_fract_z
K1 K 0.1470 0.1724 0.2467
P1 P 0.2495 0.0000 0.7569
Pt1 Pt 0.0000 0.5000 0.0000
Au1 Au 0.0000 0.5000 0.5000



(4)
# PBE-GGA MgZnSO, relaxed
# Raw total energy   -4.400 eV per atom
data_MgZnSO
_chemical_formula_sum 'Mg4 Zn4 S4 O4'
_symmetry_space_group_name_H-M 'C m c 21'
_symmetry_Int_Tables_number 36
_cell_length_a 3.4255
_cell_length_b 12.4785
_cell_length_c 5.7117
_cell_angle_alpha 90.00
_cell_angle_beta 90.00
_cell_angle_gamma 90.00
loop_
_symmetry_equiv_pos_as_xyz
'x,y,z'
'-x,-y,z+1/2'
'-x,y,z'
'x,-y,z+1/2'
'x+1/2,y+1/2,z'
'-x+1/2,-y+1/2,z+1/2'
'-x+1/2,y+1/2,z'
'x+1/2,-y+1/2,z+1/2'
loop_
_atom_site_label
_atom_site_type_symbol
_atom_site_fract_x
_atom_site_fract_y
_atom_site_fract_z
Mg1 Mg 0.0000 0.0640 0.0000
Zn1 Zn 0.0000 0.3351 0.0709
S1 S 0.0000 0.3184 0.6620
O1 O 0.0000 0.0736 0.6596



(5)
# PBE-GGA Re5Ni24, relaxed
# Raw total energy   -6.714 eV per atom
# Energy of formation from the pure elements   0.036 eV per atom
# M_tot   1.2 μB per cell
data_Re5Ni24
_chemical_formula_sum 'Re10 Ni48'
_symmetry_space_group_name_H-M 'I -4 3 m'
_symmetry_Int_Tables_number 217
_symmetry_space_group_name_Hall 'I -4 2 3'
_cell_length_a 8.6638
_cell_length_b 8.6638
_cell_length_c 8.6638
_cell_angle_alpha 90.00
_cell_angle_beta 90.00
_cell_angle_gamma 90.00
loop_
_atom_site_label
_atom_site_type_symbol
_atom_site_fract_x
_atom_site_fract_y
_atom_site_fract_z
Re1 Re 0.0000 0.0000 0.0000
Re2 Re 0.1771 0.1771 0.1771
Ni1 Ni 0.0474 0.3631 0.6369
Ni2 Ni 0.0940 0.0940 0.7155



(6)
# PBE-GGA ScAlZn2, relaxed
# Raw total energy   -3.487 eV per atom
# M_tot   0.0 μB per cell
data_ScAlZn2
_chemical_formula_sum 'Sc4 Al4 Zn8'
_symmetry_space_group_name_H-M 'A m a 2'
_symmetry_Int_Tables_number 40
_cell_length_a 4.4989
_cell_length_b 10.1415
_cell_length_c 5.8496
_cell_angle_alpha 90.00
_cell_angle_beta 90.00
_cell_angle_gamma 90.00
loop_
_symmetry_equiv_pos_as_xyz
'x,y,z'
'-x,-y,z'
'-x+1/2,y,z'
'x+1/2,-y,z'
'x,y+1/2,z+1/2'
'-x,-y+1/2,z+1/2'
'-x+1/2,y+1/2,z+1/2'
'x+1/2,-y+1/2,z+1/2'
loop_
_atom_site_label
_atom_site_type_symbol
_atom_site_fract_x
_atom_site_fract_y
_atom_site_fract_z
Sc1 Sc 0.2500 0.1668 0.0000
Al1 Al 0.2500 0.4194 0.2386
Zn1 Zn 0.2500 0.1639 0.4988
Zn2 Zn 0.2500 0.4191 0.7560